First-principles (PBE) data for a relaxed structure of Ce2Er3UP6, as listed in the Alexandria database.

Computed properties:
Magnetic moment   3.4 Bohr magnetons per cell
Crystal system   monoclinic
Formation energy   -1459 meV/atom

abc: 3.996 8.015 8.946
angles: 102.91 102.91 90.00
Element x y z (fractional)
P  0.998  0.245  0.995
P  0.335  0.922  0.670
Ce  0.166  0.333  0.332
U  0.500  0.000  0.000
Er  0.832  0.167  0.664
Er  0.500  0.500  0.000
Ce  0.834  0.667  0.668
P  0.666  0.587  0.331
P  0.334  0.413  0.669
Er  0.168  0.833  0.336
P  0.665  0.078  0.330
P  0.002  0.755  0.005

---

First-principles (PBE) data for a relaxed structure of Ce3YEr2P6, as listed in the Alexandria database.

Computed properties:
Magnetic moment   1.5 Bohr magnetons per cell
Crystal system   monoclinic
Formation energy   -1559 meV/atom

abc: 6.996 6.996 6.975
angles: 99.62 99.62 120.01
Element x y z (fractional)
P  0.918  0.583  0.755
Y  0.000  0.000  0.000
Ce  0.834  0.166  0.500
P  0.417  0.082  0.245
Er  0.667  0.333  0.000
Er  0.333  0.667  0.000
P  0.583  0.918  0.755
P  0.082  0.417  0.245
P  0.747  0.747  0.245
Ce  0.166  0.834  0.500
Ce  0.500  0.500  0.500
P  0.253  0.253  0.755

---

First-principles (PBE) data for a relaxed structure of CeYEr2P4, as listed in the Alexandria database.

Computed properties:
Magnetic moment   0.4 Bohr magnetons per cell
Crystal system   monoclinic
Formation energy   -1590 meV/atom

abc: 4.010 6.936 6.933
angles: 109.41 90.00 90.00
Element x y z (fractional)
P  0.000  0.752  0.255
Ce  0.500  0.500  0.000
Er  0.000  0.500  0.500
Y  0.000  0.000  0.000
Er  0.500  0.000  0.500
P  0.500  0.749  0.747
P  0.000  0.248  0.745
P  0.500  0.251  0.253

---

First-principles (PBE) data for a relaxed structure of Ce2YErP4, as listed in the Alexandria database.

Computed properties:
Magnetic moment   1.0 Bohr magnetons per cell
Crystal system   monoclinic
Formation energy   -1561 meV/atom

abc: 4.042 7.002 6.982
angles: 109.53 90.00 90.00
Element x y z (fractional)
P  0.500  0.750  0.753
Ce  0.500  0.000  0.500
Ce  0.000  0.500  0.500
Er  0.500  0.500  0.000
Y  0.000  0.000  0.000
P  0.500  0.250  0.247
P  0.000  0.253  0.755
P  0.000  0.747  0.245

---

First-principles (PBE) data for a relaxed structure of Ce3Y2ErP6, as listed in the Alexandria database.

Computed properties:
Magnetic moment   1.5 Bohr magnetons per cell
Crystal system   monoclinic
Formation energy   -1563 meV/atom

abc: 7.009 7.009 6.989
angles: 99.62 99.62 120.01
Element x y z (fractional)
P  0.751  0.751  0.247
Ce  0.500  0.500  0.500
P  0.082  0.414  0.246
Y  0.333  0.667  0.000
P  0.586  0.918  0.754
Ce  0.833  0.167  0.500
Ce  0.167  0.833  0.500
P  0.414  0.082  0.246
Er  0.000  0.000  0.000
Y  0.667  0.333  0.000
P  0.249  0.249  0.753
P  0.918  0.586  0.754

---

First-principles (PBE) data for a relaxed structure of CeY3Er2P6, as listed in the Alexandria database.

Computed properties:
Magnetic moment   0.3 Bohr magnetons per cell
Crystal system   monoclinic
Formation energy   -1607 meV/atom

abc: 6.939 6.939 6.944
angles: 99.59 99.59 119.99
Element x y z (fractional)
P  0.083  0.417  0.248
Ce  0.000  0.000  0.000
Y  0.166  0.834  0.500
Er  0.667  0.333  0.000
P  0.252  0.252  0.753
Er  0.333  0.667  0.000
Y  0.500  0.500  0.500
P  0.583  0.917  0.752
P  0.917  0.583  0.752
P  0.417  0.083  0.248
Y  0.834  0.166  0.500
P  0.748  0.748  0.247

---

First-principles (PBE) data for a relaxed structure of Ce3ErZr2P6, as listed in the Alexandria database.

Computed properties:
Magnetic moment   0.0 Bohr magnetons per cell
Crystal system   monoclinic
Formation energy   -1493 meV/atom

abc: 6.817 6.817 6.827
angles: 99.59 99.59 120.01
Element x y z (fractional)
Er  0.000  0.000  0.000
P  0.921  0.582  0.764
P  0.262  0.262  0.767
P  0.738  0.738  0.233
Ce  0.500  0.500  0.500
Zr  0.667  0.333  0.000
Zr  0.333  0.667  0.000
Ce  0.164  0.836  0.500
P  0.079  0.418  0.236
P  0.582  0.921  0.764
Ce  0.836  0.164  0.500
P  0.418  0.079  0.236

---

First-principles (PBE) data for a relaxed structure of CeErZr2P4, as listed in the Alexandria database.

Computed properties:
Magnetic moment   0.0 Bohr magnetons per cell
Crystal system   monoclinic
Formation energy   -1476 meV/atom

abc: 3.860 6.686 6.751
angles: 109.26 90.00 90.00
Element x y z (fractional)
P  0.000  0.242  0.734
Ce  0.500  0.500  0.000
Zr  0.000  0.500  0.500
P  0.500  0.252  0.264
Zr  0.500  0.000  0.500
Er  0.000  0.000  0.000
P  0.500  0.748  0.736
P  0.000  0.758  0.266